A geometry-optimized Ca2ScPt structure, computed with PBE-GGA.

It has space group Immm (No. 71), with a = 3.4803 Å, b = 4.1999 Å, c = 16.3379 Å, α = 90.00°, β = 90.00° and γ = 90.00°. Symmetry generates all atoms from Ca at (0.0000, 0.0000, 0.1597), Sc at (0.0000, 0.5000, 0.0000) and Pt at (0.0000, 0.5000, 0.5000).

As for the energy of formation from the pure elements: -46 kJ/mol of atoms. The theoretical density is 4.45 Mg/m³. The calculation puts the polymorph energy (0 for the lowest one) at 75 meV per atom. The calculation puts the total energy at -36.6 eV for the cell shown.


A geometry-optimized LiTe2H structure, computed with PBE-GGA.

It has space group R-3m (No. 166, hexagonal axes), with a = 3.6244 Å, b = 3.6244 Å, c = 23.4447 Å, α = 90.00°, β = 90.00° and γ = 120.00°. Symmetry generates all atoms from Li at (0.0000, 0.0000, 0.0000), Te at (0.0000, 0.0000, 0.4161) and H at (0.0000, 0.0000, 0.5000).

The theoretical density is 4.91 Mg/m³. The calculation puts the polymorph energy (0 for the lowest one) at 0 meV per atom. The calculation puts the total energy at -35.3 eV for the cell shown.


A geometry-optimized Na2In2Pt structure, computed with PBE-GGA.

It has space group C2/m (No. 12), with a = 7.0422 Å, b = 12.5694 Å, c = 6.8307 Å, α = 90.00°, β = 120.35° and γ = 90.00°. Symmetry generates all atoms from Na at (0.0341, 0.2051, 0.2616), In at (0.2447, 0.0000, 0.0987), In at (0.2489, 0.5000, 0.3517) and Pt at (0.0000, 0.3872, 0.5000).

As for the energy of formation from the pure elements: -17 kJ/mol of atoms. The theoretical density is 5.99 Mg/m³. The calculation puts the polymorph energy (0 for the lowest one) at 34 meV per atom. The calculation puts the total energy at -60.1 eV for the cell shown.


A geometry-optimized Cd3Rh structure, computed with PBE-GGA.

It has space group R-3m (No. 166, hexagonal axes), with a = 3.0173 Å, b = 3.0173 Å, c = 30.0115 Å, α = 90.00°, β = 90.00° and γ = 120.00°. Symmetry generates all atoms from Cd at (0.0000, 0.0000, 0.0000), Cd at (0.0000, 0.0000, 0.2399) and Rh at (0.0000, 0.0000, 0.5000).

As for the energy of formation from the pure elements: 4 kJ/mol of atoms. The theoretical density is 9.27 Mg/m³. The calculation puts the total energy at -29.8 eV for the cell shown.